(1)
# InTcSe (PBE, relaxed)
data_InTcSe
_cell_length_a 3.084
_cell_length_b 3.084
_cell_length_c 12.587
_cell_angle_alpha 90.00
_cell_angle_beta 90.00
_cell_angle_gamma 90.00
_space_group_name_H-M_alt 'I 4 m m'
_space_group_IT_number 107
_space_group_name_Hall 'I 4 -2'
loop_
_atom_site_label
_atom_site_fract_x
_atom_site_fract_y
_atom_site_fract_z
_atom_site_occupancy
In1 0.000 0.000 0.000 1
Tc1 0.000 0.000 0.337 1
Se1 0.000 0.000 0.735 1
# Offset from the most stable computed form   0.002 eV per atom
# Calculated total energy   -5.552 eV per atom
# M_tot   0.0 μB per cell

=====

(2)
# TiInTc2Se (PBE, relaxed)
data_TiInTc2Se
_cell_length_a 4.594
_cell_length_b 4.594
_cell_length_c 4.586
_cell_angle_alpha 90.00
_cell_angle_beta 90.00
_cell_angle_gamma 90.00
_space_group_name_H-M_alt 'P 4/m m m'
_space_group_IT_number 123
_space_group_name_Hall '-P 4 2'
loop_
_atom_site_label
_atom_site_fract_x
_atom_site_fract_y
_atom_site_fract_z
_atom_site_occupancy
Ti1 0.000 0.000 0.000 1
In1 0.500 0.500 0.000 1
Tc1 0.000 0.500 0.500 1
Se1 0.000 0.000 0.500 1
# Calculated total energy   -6.467 eV per atom
# M_tot   0.0 μB per cell

=====

(3)
# InTcW2Se (PBE, relaxed)
data_InTcW2Se
_cell_length_a 4.630
_cell_length_b 4.630
_cell_length_c 4.579
_cell_angle_alpha 90.00
_cell_angle_beta 90.00
_cell_angle_gamma 90.00
_space_group_name_H-M_alt 'P 4/m m m'
_space_group_IT_number 123
_space_group_name_Hall '-P 4 2'
loop_
_atom_site_label
_atom_site_fract_x
_atom_site_fract_y
_atom_site_fract_z
_atom_site_occupancy
In1 0.000 0.000 0.000 1
Tc1 0.500 0.500 0.000 1
W1 0.000 0.500 0.500 1
Se1 0.500 0.500 0.500 1
# Calculated total energy   -7.220 eV per atom
# M_tot   0.8 μB per cell

=====

(4)
# In2TeSe (PBE, relaxed)
data_In2TeSe
_cell_length_a 3.683
_cell_length_b 3.727
_cell_length_c 7.760
_cell_angle_alpha 90.00
_cell_angle_beta 90.00
_cell_angle_gamma 90.00
_space_group_name_H-M_alt 'P m m m'
_space_group_IT_number 47
loop_
_space_group_symop_operation_xyz
'x,y,z'
'-x,-y,-z'
'-x,-y,z'
'x,y,-z'
'x,-y,-z'
'-x,y,z'
'-x,y,-z'
'x,-y,z'
loop_
_atom_site_label
_atom_site_fract_x
_atom_site_fract_y
_atom_site_fract_z
_atom_site_occupancy
In1 0.000 0.000 0.225 1
Te1 0.500 0.500 0.500 1
Se1 0.500 0.500 0.000 1
# Offset from the most stable computed form   0.221 eV per atom
# Calculated total energy   -3.158 eV per atom
# M_tot   0.0 μB per cell

=====

(5)
# InTe2Se (PBE, relaxed)
data_InTe2Se
_cell_length_a 3.049
_cell_length_b 3.049
_cell_length_c 14.178
_cell_angle_alpha 90.00
_cell_angle_beta 90.00
_cell_angle_gamma 90.00
_space_group_name_H-M_alt 'P 4 m m'
_space_group_IT_number 99
loop_
_space_group_symop_operation_xyz
'x,y,z'
'-y,x,z'
'-x,-y,z'
'y,-x,z'
'-x,y,z'
'y,x,z'
'x,-y,z'
'-y,-x,z'
loop_
_atom_site_label
_atom_site_fract_x
_atom_site_fract_y
_atom_site_fract_z
_atom_site_occupancy
In1 0.000 0.000 0.000 1
Te1 0.000 0.000 0.462 1
Te2 0.500 0.500 0.768 1
Se1 0.500 0.500 0.169 1
# Calculated total energy   -3.003 eV per atom
# M_tot   0.0 μB per cell

=====

(6)
# InTe2Se (PBE, relaxed)
data_InTe2Se
_cell_length_a 5.463
_cell_length_b 4.154
_cell_length_c 5.474
_cell_angle_alpha 90.00
_cell_angle_beta 108.66
_cell_angle_gamma 90.00
_space_group_name_H-M_alt 'P 1 m 1'
_space_group_IT_number 6
loop_
_space_group_symop_operation_xyz
'x,y,z'
'x,-y,z'
loop_
_atom_site_label
_atom_site_fract_x
_atom_site_fract_y
_atom_site_fract_z
_atom_site_occupancy
In1 0.000 0.000 0.000 1
Te1 0.488 0.000 0.515 1
Te2 0.736 0.500 0.268 1
Se1 0.216 0.500 0.789 1
# Calculated total energy   -3.202 eV per atom
# M_tot   0.0 μB per cell

=====

(7)
# In2TeSe (PBE, relaxed)
data_In2TeSe
_cell_length_a 5.813
_cell_length_b 8.864
_cell_length_c 5.289
_cell_angle_alpha 90.00
_cell_angle_beta 123.02
_cell_angle_gamma 90.00
_space_group_name_H-M_alt 'C 1 2/m 1'
_space_group_IT_number 12
loop_
_space_group_symop_operation_xyz
'x,y,z'
'-x,-y,-z'
'-x,y,-z'
'x,-y,z'
'x+1/2,y+1/2,z'
'-x+1/2,-y+1/2,-z'
'-x+1/2,y+1/2,-z'
'x+1/2,-y+1/2,z'
loop_
_atom_site_label
_atom_site_fract_x
_atom_site_fract_y
_atom_site_fract_z
_atom_site_occupancy
In1 0.250 0.250 0.000 1
Te1 0.000 0.000 0.500 1
Se1 0.000 0.500 0.500 1
# Offset from the most stable computed form   0.150 eV per atom
# Calculated total energy   -3.228 eV per atom
# M_tot   0.0 μB per cell

=====

(8)
# In2TeSe (PBE, relaxed)
data_In2TeSe
_cell_length_a 7.571
_cell_length_b 7.571
_cell_length_c 7.571
_cell_angle_alpha 90.00
_cell_angle_beta 90.00
_cell_angle_gamma 90.00
_space_group_name_H-M_alt 'F -4 3 m'
_space_group_IT_number 216
_space_group_name_Hall 'F -4 2 3'
loop_
_atom_site_label
_atom_site_fract_x
_atom_site_fract_y
_atom_site_fract_z
_atom_site_occupancy
In1 0.000 0.000 0.000 1
In2 0.250 0.250 0.250 1
Te1 0.250 0.250 0.750 1
Se1 0.000 0.000 0.500 1
# Offset from the most stable computed form   0.423 eV per atom
# Calculated total energy   -2.955 eV per atom
# M_tot   0.0 μB per cell